Entry from the Open Quantum Materials Database: a relaxed HoZnInSe3 crystal (GGA-PBE).

## Properties
Uncorrected energy ... -100.2 eV for the cell shown
Crystal system ... orthorhombic
Relative energy among the computed polymorphs ... 0.43 eV per formula unit

The structure in CIF format:
```
data_HoZnInSe3
_chemical_formula_sum 'Ho4 Zn4 In4 Se12'
_cell_length_a 10.190
_cell_length_b 4.134
_cell_length_c 15.491
_cell_angle_alpha 90.00
_cell_angle_beta 90.00
_cell_angle_gamma 90.00
_symmetry_space_group_name_H-M 'P n m a'
_symmetry_Int_Tables_number 62
loop_
_symmetry_equiv_pos_as_xyz
'x,y,z'
'-x,-y,-z'
'-x+1/2,-y,z+1/2'
'x+1/2,y,-z+1/2'
'x+1/2,-y+1/2,-z+1/2'
'-x+1/2,y+1/2,z+1/2'
'-x,y+1/2,-z'
'x,-y+1/2,z'
loop_
_atom_site_label
_atom_site_fract_x
_atom_site_fract_y
_atom_site_fract_z
Ho1 0.173 0.250 0.053
Zn1 0.175 0.750 0.863
In1 0.013 0.750 0.319
Se1 0.018 0.250 0.893
Se2 0.172 0.250 0.483
Se3 0.204 0.750 0.710
```